[1]
Computed, not measured: crystalline TbDy5HoEr2 at its relaxed geometry at the PBE level of DFT.

- total magnetic moment (μB/atom) = 0.000
- DOS(E_F) (states/eV/f.u.) = 14.5
- uncorrected energy (eV per formula unit) = -39.9

Cell and atoms, written as POSCAR:
```
TbDy5HoEr2
1.0
2.778 -9.854 0.000
2.778 9.854 0.000
0.000 0.000 10.497
Tb Dy Ho Er
2 10 2 4
direct
0.086 0.914 0.500
0.914 0.086 0.000
0.021 0.979 0.783
0.111 0.889 0.068
0.201 0.799 0.753
0.219 0.781 0.355
0.482 0.518 0.068
0.518 0.482 0.568
0.781 0.219 0.855
0.799 0.201 0.253
0.889 0.111 0.568
0.979 0.021 0.283
0.300 0.700 0.056
0.700 0.300 0.556
0.386 0.614 0.362
0.390 0.610 0.782
0.610 0.390 0.282
0.614 0.386 0.862
```


[2]
Computed, not measured: crystalline YTmAg5 at its relaxed geometry at the PBE level of DFT.

- total magnetic moment (μB/atom) = 0.000
- DOS(E_F) (states/eV/f.u.) = 3.0
- uncorrected energy (eV per formula unit) = -25.7

Cell and atoms, written as POSCAR:
```
YTmAg5
1.0
4.936 0.000 0.000
0.000 4.936 0.000
0.000 0.000 6.606
Y Tm Ag
1 1 5
direct
0.000 0.000 0.000
0.500 0.500 0.500
0.000 0.500 0.266
0.000 0.500 0.734
0.500 0.000 0.266
0.500 0.000 0.734
0.500 0.500 0.000
```


[3]
Computed, not measured: crystalline KHg2Au2 at its relaxed geometry at the PBE level of DFT.

- total magnetic moment (μB/atom) = 0.000
- DOS(E_F) (states/eV/f.u.) = 1.8
- uncorrected energy (eV per formula unit) = -9.2

Cell and atoms, written as POSCAR:
```
KHg2Au2
1.0
-2.372 2.372 6.097
2.372 -2.372 6.097
2.372 2.372 -6.097
K Hg Au
1 2 2
direct
0.000 0.000 0.000
0.250 0.750 0.500
0.750 0.250 0.500
0.390 0.390 0.000
0.610 0.610 0.000
```


[4]
Computed, not measured: crystalline Li7IN2 at its relaxed geometry at the PBE level of DFT.

- total magnetic moment (μB/atom) = 0.000
- uncorrected formation energy (eV per atom) = -0.537
- DOS(E_F) (states/eV/f.u.) = 0.0
- uncorrected energy (eV per formula unit) = -37.0

Cell and atoms, written as POSCAR:
```
Li7IN2
1.0
3.249 -5.494 0.000
3.249 5.494 0.000
0.000 0.000 3.973
Li I N
7 1 2
direct
0.000 0.000 0.000
0.147 0.468 0.000
0.186 0.814 0.500
0.468 0.147 0.000
0.532 0.853 0.000
0.814 0.186 0.500
0.853 0.532 0.000
0.500 0.500 0.500
0.186 0.814 0.000
0.814 0.186 0.000
```


[5]
Computed, not measured: crystalline Pr2FeCu at its relaxed geometry at the PBE level of DFT.

- total magnetic moment (μB/atom) = 0.397
- DOS(E_F) (states/eV/f.u.) = 4.8
- uncorrected energy (eV per formula unit) = -21.7

Cell and atoms, written as POSCAR:
```
Pr2FeCu
1.0
3.576 0.000 0.000
0.000 3.576 0.000
0.000 0.000 7.219
Pr Fe Cu
2 1 1
direct
0.000 0.000 0.242
0.000 0.000 0.758
0.500 0.500 0.000
0.500 0.500 0.500
```


[6]
Computed, not measured: crystalline Ca2Zn2Cu5Ir at its relaxed geometry at the PBE level of DFT.

- total magnetic moment (μB/atom) = 0.000
- DOS(E_F) (states/eV/f.u.) = 3.7
- uncorrected energy (eV per formula unit) = -36.2

Cell and atoms, written as POSCAR:
```
Ca2Zn2Cu5Ir
1.0
9.492 0.000 0.000
0.000 9.492 0.000
0.000 0.000 3.633
Ca Zn Cu Ir
4 4 10 2
direct
0.181 0.319 0.000
0.319 0.819 0.000
0.681 0.181 0.000
0.819 0.681 0.000
0.118 0.618 0.000
0.382 0.118 0.000
0.618 0.882 0.000
0.882 0.382 0.000
0.000 0.500 0.500
0.053 0.807 0.500
0.193 0.053 0.500
0.307 0.553 0.500
0.447 0.307 0.500
0.500 0.000 0.500
0.553 0.693 0.500
0.693 0.447 0.500
0.807 0.947 0.500
0.947 0.193 0.500
0.000 0.000 0.000
0.500 0.500 0.000
```


[7]
Computed, not measured: crystalline Cs2TeCCl6 at its relaxed geometry at the PBE level of DFT.

- total magnetic moment (μB/atom) = 0.000
- uncorrected formation energy (eV per atom) = -0.491
- DOS(E_F) (states/eV/f.u.) = 3.6
- uncorrected energy (eV per formula unit) = -30.1

Cell and atoms, written as POSCAR:
```
Cs2TeCCl6
1.0
-3.628 3.628 5.225
3.628 -3.628 5.225
3.628 3.628 -5.225
Cs Te C Cl
2 1 1 6
direct
0.250 0.750 0.500
0.750 0.250 0.500
0.000 0.000 0.000
0.500 0.500 0.000
0.264 0.264 0.527
0.264 0.736 0.000
0.271 0.271 0.000
0.729 0.729 0.000
0.736 0.264 0.000
0.736 0.736 0.473
```


[8]
Computed, not measured: crystalline Li2TaBr2 at its relaxed geometry at the PBE level of DFT.

- total magnetic moment (μB/atom) = 0.774
- uncorrected formation energy (eV per atom) = 0.370
- DOS(E_F) (states/eV/f.u.) = 4.8
- uncorrected energy (eV per formula unit) = -17.2

Cell and atoms, written as POSCAR:
```
Li2TaBr2
1.0
-2.478 2.478 4.725
2.478 -2.478 4.725
2.478 2.478 -4.725
Li Ta Br
2 1 2
direct
0.160 0.160 0.000
0.840 0.840 0.000
0.500 0.500 0.000
0.250 0.750 0.500
0.750 0.250 0.500
```


[9]
Computed, not measured: crystalline ThInIrPd at its relaxed geometry at the PBE level of DFT.

- total magnetic moment (μB/atom) = 0.000
- DOS(E_F) (states/eV/f.u.) = 2.6
- uncorrected energy (eV per formula unit) = -26.7

Cell and atoms, written as POSCAR:
```
ThInIrPd
1.0
0.000 3.469 3.469
3.469 0.000 3.469
3.469 3.469 0.000
Th In Ir Pd
1 1 1 1
direct
0.000 0.000 0.000
0.500 0.500 0.500
0.250 0.250 0.250
0.750 0.750 0.750
```


[10]
Computed, not measured: crystalline Ho2Au13 at its relaxed geometry at the PBE level of DFT.

- total magnetic moment (μB/atom) = 0.000
- DOS(E_F) (states/eV/f.u.) = 4.4
- uncorrected energy (eV per formula unit) = -55.6

Cell and atoms, written as POSCAR:
```
Ho2Au13
1.0
3.716 2.146 6.468
-3.716 2.146 6.468
0.000 -4.291 6.468
Ho Au
2 13
direct
0.163 0.163 0.163
0.837 0.837 0.837
0.000 0.000 0.000
0.162 0.162 0.542
0.162 0.542 0.162
0.302 0.691 0.691
0.309 0.309 0.698
0.309 0.698 0.309
0.458 0.838 0.838
0.542 0.162 0.162
0.691 0.302 0.691
0.691 0.691 0.302
0.698 0.309 0.309
0.838 0.458 0.838
0.838 0.838 0.458
```


[11]
Computed, not measured: crystalline CaZn2Te at its relaxed geometry at the PBE level of DFT.

- total magnetic moment (μB/atom) = 0.000
- uncorrected formation energy (eV per atom) = -0.487
- DOS(E_F) (states/eV/f.u.) = 0.9
- uncorrected energy (eV per formula unit) = -9.6

Cell and atoms, written as POSCAR:
```
CaZn2Te
1.0
4.040 0.000 0.000
0.000 4.040 0.000
-0.003 0.000 6.176
Ca Zn Te
1 2 1
direct
0.000 0.000 0.000
0.002 0.500 0.405
0.502 0.000 0.405
0.500 0.500 0.786
```


[12]
Computed, not measured: crystalline SmGdIrPb at its relaxed geometry at the PBE level of DFT.

- total magnetic moment (μB/atom) = 1.765
- DOS(E_F) (states/eV/f.u.) = 3.5
- uncorrected energy (eV per formula unit) = -33.1

Cell and atoms, written as POSCAR:
```
SmGdIrPb
1.0
0.000 3.686 3.686
3.686 0.000 3.686
3.686 3.686 0.000
Sm Gd Ir Pb
1 1 1 1
direct
0.000 0.000 0.000
0.500 0.500 0.500
0.750 0.750 0.750
0.250 0.250 0.250
```